# Co2CuSbTe

A geometry-optimized Co2CuSbTe structure (PBE, the Alexandria database).

POSCAR file:
```
Co2CuSbTe
1.0
4.677 0.000 0.000
0.000 4.677 0.000
0.000 0.000 6.076
Co Cu Sb Te
2 1 1 1
Cartesian
0.000 2.339 0.000
2.339 0.000 0.000
0.000 0.000 3.038
2.339 2.339 0.000
2.339 2.339 3.038
```

raw total energy: -3.86 eV/atom
space group: No. 123
raw formation energy: 1253.3 meV per atom
N(E_F): 7.21 states/eV/cell

***

# ErIn2AgBr6

A geometry-optimized ErIn2AgBr6 structure (PBE, the Alexandria database).

POSCAR file:
```
ErIn2AgBr6
1.0
7.563 0.000 0.000
0.000 8.043 0.000
-7.353 0.000 10.827
Er In Ag Br
2 4 2 12
Cartesian
0.000 0.000 0.000
-3.677 4.022 5.414
-3.416 0.679 8.195
0.261 3.342 2.781
-0.051 4.701 8.046
3.625 7.364 2.633
0.105 0.000 5.414
3.781 4.022 0.000
-0.736 0.180 2.685
-4.413 3.842 8.098
1.406 5.694 0.541
-2.271 6.371 5.954
2.294 1.509 0.501
-1.383 2.513 5.915
1.592 5.530 4.913
-2.085 6.535 10.326
2.480 1.672 4.873
-1.197 2.350 10.287
4.622 4.202 2.729
0.946 7.863 8.143
```

raw total energy: -3.36 eV/atom
space group: No. 14
raw formation energy: -1069.7 meV per atom
N(E_F): 0.00 states/eV/cell

***

# PrGdLuMg

A geometry-optimized PrGdLuMg structure (PBE, the Alexandria database).

POSCAR file:
```
PrGdLuMg
1.0
0.000 3.923 3.923
3.923 0.000 3.923
3.923 3.923 0.000
Pr Gd Lu Mg
1 1 1 1
Cartesian
0.000 0.000 0.000
3.923 3.923 3.923
5.884 5.884 5.884
1.961 1.961 1.961
```

raw total energy: -6.24 eV/atom
space group: No. 216
energy relative to the elements: 0.006 eV per atom
N(E_F): 4.49 states/eV/cell

***

- The highest N(E_F) belongs to which entry?
  Co2CuSbTe

***

What did the second record say?
# ErIn2AgBr6

A geometry-optimized ErIn2AgBr6 structure (PBE, the Alexandria database).

POSCAR file:
```
ErIn2AgBr6
1.0
7.563 0.000 0.000
0.000 8.043 0.000
-7.353 0.000 10.827
Er In Ag Br
2 4 2 12
Cartesian
0.000 0.000 0.000
-3.677 4.022 5.414
-3.416 0.679 8.195
0.261 3.342 2.781
-0.051 4.701 8.046
3.625 7.364 2.633
0.105 0.000 5.414
3.781 4.022 0.000
-0.736 0.180 2.685
-4.413 3.842 8.098
1.406 5.694 0.541
-2.271 6.371 5.954
2.294 1.509 0.501
-1.383 2.513 5.915
1.592 5.530 4.913
-2.085 6.535 10.326
2.480 1.672 4.873
-1.197 2.350 10.287
4.622 4.202 2.729
0.946 7.863 8.143
```

raw total energy: -3.36 eV/atom
space group: No. 14
raw formation energy: -1069.7 meV per atom
N(E_F): 0.00 states/eV/cell